Record 1
Below is a relaxed Pr3ErIr8 crystal, with properties calculated at the PBE level.

## Properties
DFT total energy   -98.15 eV per formula unit

Unit cell a=5.4334 b=5.4334 c=26.5956 alpha=90.00 beta=90.00 gamma=120.00
Space group R3m (No. 160, hexagonal axes)
Unique sites:
Pr: 0.0000 0.0000 0.0000
Pr: 0.0000 0.0000 0.1252
Pr: 0.0000 0.0000 0.6243
Er: 0.0000 0.0000 0.4995
Ir: 0.0000 0.0000 0.3124
Ir: 0.0000 0.0000 0.8126
Ir: 0.0014 0.5007 0.0635
Ir: 0.1671 0.3342 0.8945

---

Record 2
Below is a relaxed VCdInGe2 crystal, with properties calculated at the PBE level.

## Properties
DFT total energy   -20.32 eV per formula unit

Unit cell a=4.8425 b=4.8425 c=5.4546 alpha=90.00 beta=90.00 gamma=90.00
Space group P4/mmm (No. 123)
Unique sites:
V: 0.0000 0.0000 0.0000
Cd: 0.0000 0.0000 0.5000
In: 0.5000 0.5000 0.5000
Ge: 0.0000 0.5000 0.0000

---

Record 3
Below is a relaxed TaInCu2 crystal, with properties calculated at the PBE level.

## Properties
DFT total energy   -21.82 eV per formula unit

Unit cell a=9.9361 b=2.8206 c=4.8529 alpha=90.00 beta=109.46 gamma=90.00
Space group Cm (No. 8)
Unique sites:
Ta: 0.0000 0.0000 0.0000
In: 0.2787 0.5000 0.3562
Cu: 0.0319 0.5000 0.5250
Cu: 0.2463 0.0000 0.8346

---

Record 4
Below is a relaxed Nd2Er5Cd crystal, with properties calculated at the PBE level.

## Properties
DFT total energy   -33.58 eV per formula unit

Unit cell a=6.6281 b=6.6284 c=7.0894 alpha=105.08 beta=105.46 gamma=115.81
Space group P1 (No. 1)
Unique sites:
Nd: 0.0000 0.0000 0.0000
Nd: 0.4168 0.8894 0.3117
Er: 0.0111 0.9853 0.4957
Er: 0.4164 0.8861 0.8241
Er: 0.5116 0.4818 0.4957
Er: 0.5280 0.4718 0.9997
Er: 0.9384 0.4081 0.8238
Cd: 0.9312 0.4099 0.3428

---

Record 5
Below is a relaxed BaAs2Pb crystal, with properties calculated at the PBE level.

## Properties
DFT total energy   -16.09 eV per formula unit

Unit cell a=7.7218 b=4.3668 c=7.9400 alpha=90.00 beta=109.07 gamma=90.00
Space group C2/m (No. 12)
Unique sites:
Ba: 0.0000 0.0000 0.0000
As: 0.2367 0.0000 0.7151
Pb: 0.0000 0.5000 0.5000

---

Record 6
Below is a relaxed NbSe3F crystal, with properties calculated at the PBE level.

## Properties
DFT total energy   -19.81 eV per formula unit
Raw formation energy   0.5175 eV per atom
Offset from the most stable computed form   1.139 eV/atom

Unit cell a=4.5514 b=4.5514 c=4.5514 alpha=90.00 beta=90.00 gamma=90.00
Space group Pm-3m (No. 221)
Unique sites:
Nb: 0.0000 0.0000 0.0000
Se: 0.0000 0.5000 0.5000
F: 0.5000 0.5000 0.5000

---

Record 7
Below is a relaxed Sm6C2NCl2 crystal, with properties calculated at the PBE level.

## Properties
DFT total energy   -69.89 eV per formula unit
Raw formation energy   -1.0096 eV per atom

Unit cell a=6.4434 b=11.1378 c=7.0454 alpha=90.00 beta=108.24 gamma=90.00
Space group C2/m (No. 12)
Unique sites:
Sm: 0.2333 0.0000 0.2026
Sm: 0.2349 0.3369 0.2001
C: 0.0000 0.1684 0.0000
N: 0.0000 0.5000 0.0000
Cl: 0.0000 0.3298 0.5000

---

Record 8
Below is a relaxed SrTaCd2O6 crystal, with properties calculated at the PBE level.

## Properties
DFT total energy   -64.37 eV per formula unit
Raw formation energy   -1.9259 eV per atom

Unit cell a=5.8200 b=5.9205 c=10.1893 alpha=90.00 beta=124.45 gamma=90.00
Space group P2_1/c (No. 14)
Unique sites:
Sr: 0.0000 0.0000 0.0000
Ta: 0.5000 0.0000 0.5000
Cd: 0.2427 0.0272 0.7276
O: 0.1591 0.1406 0.4652
O: 0.2806 0.7124 0.4068
O: 0.3910 0.1101 0.2832

---

Q: Look up the DFT total energy of the third one.
A: -21.82 eV per formula unit

---

Copy entry 4 word for word.
Below is a relaxed Nd2Er5Cd crystal, with properties calculated at the PBE level.

## Properties
DFT total energy   -33.58 eV per formula unit

Unit cell a=6.6281 b=6.6284 c=7.0894 alpha=105.08 beta=105.46 gamma=115.81
Space group P1 (No. 1)
Unique sites:
Nd: 0.0000 0.0000 0.0000
Nd: 0.4168 0.8894 0.3117
Er: 0.0111 0.9853 0.4957
Er: 0.4164 0.8861 0.8241
Er: 0.5116 0.4818 0.4957
Er: 0.5280 0.4718 0.9997
Er: 0.9384 0.4081 0.8238
Cd: 0.9312 0.4099 0.3428